Material: HfSbSI2
Method: DFT, PBEsol
State: relaxed

Unit cell a=5.498 b=5.074 c=5.074 alpha=90.00 beta=90.00 gamma=90.00
Atoms (fractional coordinates):
I 0.000 0.500 0.000
I 0.000 0.000 0.500
Sb 0.500 0.000 0.000
Hf 0.500 0.500 0.500
S 0.000 0.000 0.000

Computed properties:
space group: No. 123
E_form (uncorrected): 770 meV/atom

***

Material: Ba2InHg2
Method: DFT, PBEsol
State: relaxed

Unit cell a=4.494 b=8.620 c=8.620 alpha=90.00 beta=90.00 gamma=90.00
Atoms (fractional coordinates):
Ba 0.500 0.323 0.177
Ba 0.500 0.823 0.323
Ba 0.500 0.177 0.677
Ba 0.500 0.677 0.823
Hg 0.000 0.876 0.624
Hg 0.000 0.376 0.876
Hg 0.000 0.624 0.124
Hg 0.000 0.124 0.376
In 0.000 0.500 0.500
In 0.000 0.000 0.000

Computed properties:
energy relative to the elements: -0.46 eV per atom
space group: No. 127

***

V / Å³/cell: 141.52 333.94
M_tot / Bohr magnetons per cell: 0.92 0.00